[1]
VASP calculation (GGA-PBE) on a relaxed structure of LiSmYOs.

```
LiSmYOs
1.0
4.955 0.000 0.000
2.478 4.291 0.000
2.478 1.430 4.046
Sm Li Y Os
1 1 1 1
direct
0.250 0.250 0.250
0.000 0.000 0.000
0.750 0.750 0.750
0.500 0.500 0.500
```

Summary:
calculated formation energy = -0.1710 eV/atom
mass density = 8.423 g cm⁻³
SG = F-43m, No. 216
DOS(E_F) = 0.61 states/eV per atom

[2]
VASP calculation (GGA-PBE) on a relaxed structure of TaHg2.

```
TaHg2
1.0
-3.621 3.621 2.609
3.621 -3.621 2.609
3.621 3.621 -2.609
Ta Hg
2 4
direct
0.750 0.750 0.000
0.250 0.250 0.000
0.669 0.831 0.500
0.831 0.331 0.162
0.331 0.169 0.500
0.169 0.669 0.838
```

Summary:
calculated formation energy = 0.4552 eV/atom
mass density = 14.130 g cm⁻³
SG = I4/mcm, No. 140
DOS(E_F) = 0.76 states/eV per atom

[3]
VASP calculation (GGA-PBE) on a relaxed structure of TaBeSb2.

```
TaBeSb2
1.0
3.788 0.000 0.000
0.000 3.789 -0.001
0.000 1.892 5.311
Sb Be Ta
2 1 1
direct
0.000 0.990 0.895
0.500 0.290 0.295
0.500 0.526 0.824
0.000 0.694 0.486
```

Summary:
ΔE_f (raw) = 29 meV/atom
mass density = 9.444 g cm⁻³
SG = Amm2, No. 38
DOS(E_F) = 0.30 states/eV per atom

[4]
VASP calculation (GGA-PBE) on a relaxed structure of RbOsRh.

```
RbOsRh
1.0
6.616 0.000 0.009
0.000 4.499 0.000
1.357 0.000 4.882
Os Rh Rb
2 2 2
direct
0.680 0.500 0.758
0.620 0.500 0.281
0.613 0.000 0.001
0.713 0.000 0.464
0.193 0.000 0.633
0.132 0.500 0.132
```

Summary:
calculated formation energy = 0.6612 eV/atom
mass density = 8.657 g cm⁻³
SG = Pm, No. 6
DOS(E_F) = 0.76 states/eV per atom
energy above the most stable polymorph in this dataset = 183 meV/atom

[5]
VASP calculation (GGA-PBE) on a relaxed structure of LiDy3Au2.

```
LiDy3Au2
1.0
5.068 0.000 0.000
-2.534 4.389 0.000
0.000 0.000 12.703
Au Dy Li
4 6 2
direct
0.000 0.000 0.000
0.000 0.000 0.500
0.667 0.333 0.809
0.333 0.667 0.191
0.667 0.333 0.077
0.000 0.000 0.243
0.000 0.000 0.757
0.667 0.333 0.579
0.333 0.667 0.923
0.333 0.667 0.421
0.667 0.333 0.325
0.333 0.667 0.675
```

Summary:
calculated formation energy = -0.5779 eV/atom
mass density = 10.440 g cm⁻³
SG = P-3m1, No. 164
DOS(E_F) = 0.76 states/eV per atom

[6]
VASP calculation (GGA-PBE) on a relaxed structure of Ta3AlCd.

```
Ta3AlCd
1.0
4.934 0.000 0.000
0.000 4.934 0.000
0.000 0.000 4.934
Ta Cd Al
3 1 1
direct
0.500 0.000 0.000
0.000 0.000 0.500
0.000 0.500 0.000
0.000 0.000 0.000
0.500 0.500 0.500
```

Summary:
calculated formation energy = 2.0688 eV/atom
mass density = 9.430 g cm⁻³
SG = Pm-3m, No. 221
DOS(E_F) = 0.22 states/eV per atom
energy above the most stable polymorph in this dataset = 863 meV/atom

[7]
VASP calculation (GGA-PBE) on a relaxed structure of Dy8Al2Cu.

```
Dy8Al2Cu
1.0
5.036 0.000 0.000
0.000 6.607 0.298
-2.518 -2.448 8.803
Dy Al Cu
8 2 1
direct
0.792 0.700 0.584
0.652 0.971 0.304
0.594 0.460 0.187
0.980 0.225 0.960
0.406 0.540 0.813
0.020 0.775 0.040
0.348 0.029 0.696
0.208 0.300 0.416
0.812 0.251 0.624
0.188 0.749 0.376
0.500 0.000 0.000
```

Summary:
calculated formation energy = -0.1568 eV/atom
mass density = 7.937 g cm⁻³
SG = C2/m, No. 12
DOS(E_F) = 1.00 states/eV per atom

[8]
VASP calculation (GGA-PBE) on a relaxed structure of Li4TbCd8.

```
Li4TbCd8
1.0
4.881 0.000 1.962
2.441 7.054 0.981
-0.190 0.000 7.526
Cd Li Tb
8 4 1
direct
0.500 0.212 0.788
0.288 0.212 0.212
0.500 0.788 0.212
0.000 0.651 0.349
0.651 0.349 0.349
0.000 0.349 0.651
0.349 0.651 0.651
0.712 0.788 0.788
0.500 0.000 0.500
0.000 0.500 0.000
0.000 0.000 0.500
0.500 0.500 0.000
0.000 0.000 0.000
```

Summary:
calculated formation energy = -0.2341 eV/atom
mass density = 6.888 g cm⁻³
SG = I4/mmm, No. 139
DOS(E_F) = 0.44 states/eV per atom

Let's list E_tot in order: -25.011, -22.181, -23.707, -35.130, -51.484, -29.872, -50.123, -22.650 eV per cell.